[1]
{
  "formula": "Dy4Y2Ho",
  "functional": "GGA-PBE",
  "state": "relaxed",
  "n_ef_per_ev_cell": 23.90,
  "sg": "P2_1/m (11)",
  "volume_a3_per_cell": 446,
  "delta_e_f_ev_per_atom": 0.133,
  "lattice": [[6.230, 0.000, 0.000], [0.000, 6.485, 0.000], [-3.111, 0.000, 11.046]],
  "species": ["Dy", "Dy", "Dy", "Dy", "Dy", "Dy", "Dy", "Dy", "Y", "Y", "Y", "Y", "Ho", "Ho"],
  "frac_coords": [[0.034, 0.250, 0.362], [0.140, 0.250, 0.947], [0.343, 0.504, 0.213], [0.343, 0.996, 0.213], [0.657, 0.004, 0.787], [0.657, 0.496, 0.787], [0.860, 0.750, 0.053], [0.966, 0.750, 0.638], [0.297, 0.750, 0.926], [0.387, 0.750, 0.504], [0.613, 0.250, 0.496], [0.703, 0.250, 0.074], [0.165, 0.250, 0.664], [0.835, 0.750, 0.336]]
}


[2]
{
  "formula": "Dy3Y2Ho2",
  "functional": "GGA-PBE",
  "state": "relaxed",
  "n_ef_per_ev_cell": 13.08,
  "sg": "C2/m (12)",
  "volume_a3_per_cell": 223,
  "delta_e_f_ev_per_atom": 0.052,
  "lattice": [[11.736, -2.727, 0.000], [11.736, 2.727, 0.000], [-0.525, 0.000, 3.483]],
  "species": ["Dy", "Dy", "Dy", "Y", "Y", "Ho", "Ho"],
  "frac_coords": [[0.000, 0.000, 0.000], [0.276, 0.276, 0.776], [0.724, 0.724, 0.224], [0.142, 0.142, 0.143], [0.858, 0.858, 0.857], [0.421, 0.421, 0.420], [0.579, 0.579, 0.580]]
}


[3]
{
  "formula": "Dy7Y2Ho",
  "functional": "GGA-PBE",
  "state": "relaxed",
  "n_ef_per_ev_cell": 17.16,
  "sg": "Cmmm (65)",
  "volume_a3_per_cell": 323,
  "delta_e_f_ev_per_atom": 0.201,
  "lattice": [[3.212, -14.584, 0.000], [3.212, 14.584, 0.000], [0.000, 0.000, 3.442]],
  "species": ["Dy", "Dy", "Dy", "Dy", "Dy", "Dy", "Dy", "Y", "Y", "Ho"],
  "frac_coords": [[0.000, 0.000, 0.000], [0.159, 0.356, 0.000], [0.187, 0.813, 0.500], [0.356, 0.159, 0.000], [0.644, 0.841, 0.000], [0.813, 0.187, 0.500], [0.841, 0.644, 0.000], [0.292, 0.708, 0.000], [0.708, 0.292, 0.000], [0.500, 0.500, 0.500]]
}


[4]
{
  "formula": "Dy5Y4Ho3",
  "functional": "GGA-PBE",
  "state": "relaxed",
  "n_ef_per_ev_cell": 20.33,
  "sg": "C2/m (12)",
  "volume_a3_per_cell": 389,
  "delta_e_f_ev_per_atom": 0.238,
  "lattice": [[8.019, -2.932, 0.000], [8.019, 2.932, 0.000], [-4.192, 0.000, 8.272]],
  "species": ["Dy", "Dy", "Dy", "Dy", "Dy", "Y", "Y", "Y", "Y", "Ho", "Ho", "Ho"],
  "frac_coords": [[0.000, 0.000, 0.000], [0.327, 0.327, 0.615], [0.426, 0.426, 0.299], [0.574, 0.574, 0.701], [0.673, 0.673, 0.385], [0.080, 0.080, 0.438], [0.214, 0.214, 0.878], [0.786, 0.786, 0.122], [0.920, 0.920, 0.562], [0.210, 0.210, 0.232], [0.500, 0.500, 0.000], [0.790, 0.790, 0.768]]
}


[5]
{
  "formula": "Dy12YHo7",
  "functional": "GGA-PBE",
  "state": "relaxed",
  "n_ef_per_ev_cell": 22.95,
  "sg": "Im-3 (204)",
  "volume_a3_per_cell": 711,
  "delta_e_f_ev_per_atom": 0.717,
  "lattice": [[-5.622, 5.622, 5.622], [5.622, -5.622, 5.622], [5.622, 5.622, -5.622]],
  "species": ["Dy", "Dy", "Dy", "Dy", "Dy", "Dy", "Dy", "Dy", "Dy", "Dy", "Dy", "Dy", "Y", "Ho", "Ho", "Ho", "Ho", "Ho", "Ho", "Ho"],
  "frac_coords": [[0.001, 0.749, 0.252], [0.251, 0.252, 0.504], [0.251, 0.748, 0.999], [0.252, 0.001, 0.749], [0.252, 0.504, 0.251], [0.496, 0.749, 0.748], [0.504, 0.251, 0.252], [0.748, 0.496, 0.749], [0.748, 0.999, 0.251], [0.749, 0.252, 0.001], [0.749, 0.748, 0.496], [0.999, 0.251, 0.748], [0.000, 0.000, 0.000], [0.000, 0.000, 0.500], [0.000, 0.500, 0.000], [0.000, 0.500, 0.500], [0.500, 0.000, 0.000], [0.500, 0.000, 0.500], [0.500, 0.500, 0.000], [0.500, 0.500, 0.500]]
}


[6]
{
  "formula": "DyY2Ho9",
  "functional": "GGA-PBE",
  "state": "relaxed",
  "n_ef_per_ev_cell": 19.41,
  "sg": "P6/mmm (191)",
  "volume_a3_per_cell": 376,
  "delta_e_f_ev_per_atom": 0.060,
  "lattice": [[11.181, 0.000, 0.000], [-5.590, 9.683, 0.000], [0.000, 0.000, 3.477]],
  "species": ["Dy", "Y", "Y", "Ho", "Ho", "Ho", "Ho", "Ho", "Ho", "Ho", "Ho", "Ho"],
  "frac_coords": [[0.000, 0.000, 0.000], [0.333, 0.667, 0.000], [0.667, 0.333, 0.000], [0.000, 0.500, 0.000], [0.176, 0.351, 0.500], [0.176, 0.824, 0.500], [0.351, 0.176, 0.500], [0.500, 0.000, 0.000], [0.500, 0.500, 0.000], [0.649, 0.824, 0.500], [0.824, 0.176, 0.500], [0.824, 0.649, 0.500]]
}